Record 1
First-principles (PBE) data for a relaxed structure of BaLi2TlPd, as listed in Alexandria.

## Properties
Formation energy   -0.249 eV per atom
E_tot   -2.91 eV/atom
Density of states at the Fermi level   2.70 states/eV/f.u.

Cell: 5.0928 5.0928 5.3209 Å, 90.00 90.00 90.00°
Positions (direct):
Tl: 0.0000 0.0000 0.5000
Ba: 0.5000 0.5000 0.5000
Pd: 0.0000 0.0000 0.0000
Li: 0.0000 0.5000 0.0000
Li: 0.5000 0.0000 0.0000

---

Record 2
First-principles (PBE) data for a relaxed structure of Sr2AgSe, as listed in Alexandria.

## Properties
E_tot   -3.46 eV/atom
Raw formation energy   -4.1 eV per formula unit
Density of states at the Fermi level   2.63 states/eV/f.u.

Cell: 4.4781 4.4781 8.0935 Å, 73.88 73.88 60.04°
Positions (direct):
Ag: 0.7500 0.7500 0.7500
Se: 0.2500 0.2500 0.2500
Sr: 0.9964 0.9964 0.0114
Sr: 0.5036 0.5036 0.4886

---

Record 3
First-principles (PBE) data for a relaxed structure of Ho4In2Hg, as listed in Alexandria.

## Properties
E above lowest polymorph   71 meV per atom
Formation energy   -0.239 eV per atom
E_tot   -3.68 eV/atom
Density of states at the Fermi level   6.33 states/eV/f.u.

Cell: 7.1769 6.6726 9.2643 Å, 90.00 114.76 90.00°
Positions (direct):
Ho: 0.5618 0.4924 0.2252
Ho: 0.0228 0.7500 0.8340
Ho: 0.9772 0.2500 0.1660
Ho: 0.5618 0.0076 0.2252
Ho: 0.9609 0.2500 0.5548
Ho: 0.4382 0.9924 0.7748
Ho: 0.4382 0.5076 0.7748
Ho: 0.0391 0.7500 0.4452
In: 0.7770 0.7500 0.0598
In: 0.2230 0.2500 0.9402
In: 0.4030 0.2500 0.4660
In: 0.5970 0.7500 0.5340
Hg: 0.2120 0.7500 0.1967
Hg: 0.7880 0.2500 0.8033